# Tb12Pm2Nd | Alexandria | PBE | optimized geometry
data_Tb12Pm2Nd
_symmetry_space_group_name_H-M 'P 4/n b m'
_symmetry_Int_Tables_number 125
_cell_length_a 6.4440
_cell_length_b 6.4440
_cell_length_c 25.1291
_cell_angle_alpha 90.00
_cell_angle_beta 90.00
_cell_angle_gamma 90.00
loop_
_symmetry_equiv_pos_as_xyz
'x,y,z'
'-x,-y,-z'
'-y+1/2,x,z'
'y+1/2,-x,-z'
'-x+1/2,-y+1/2,z'
'x+1/2,y+1/2,-z'
'y,-x+1/2,z'
'-y,x+1/2,-z'
'x,-y+1/2,-z'
'-x,y+1/2,z'
'-y+1/2,-x+1/2,-z'
'y+1/2,x+1/2,z'
'-x+1/2,y,-z'
'x+1/2,-y,z'
'y,x,-z'
'-y,-x,z'
loop_
_atom_site_label
_atom_site_type_symbol
_atom_site_fract_x
_atom_site_fract_y
_atom_site_fract_z
Tb1 Tb 0.0652 0.5652 0.1171
Tb2 Tb 0.0818 0.5818 0.4392
Tb3 Tb 0.2500 0.2500 0.2165
Tb4 Tb 0.2500 0.2500 0.3401
Pm1 Pm 0.2500 0.7500 0.2725
Nd1 Nd 0.2500 0.7500 0.0000
# * ΔH_f (0 K): 0.313 eV per atom
# * Fermi-level density of states: 1.472 states/eV per atom
# * mass density: 7.45 g/cm³

***

# PmYAgAu | Alexandria | PBE | optimized geometry
data_PmYAgAu
_symmetry_space_group_name_H-M 'F -4 3 m'
_symmetry_Int_Tables_number 216
_symmetry_space_group_name_Hall 'F -4 2 3'
_cell_length_a 7.3350
_cell_length_b 7.3350
_cell_length_c 7.3350
_cell_angle_alpha 90.00
_cell_angle_beta 90.00
_cell_angle_gamma 90.00
loop_
_atom_site_label
_atom_site_type_symbol
_atom_site_fract_x
_atom_site_fract_y
_atom_site_fract_z
Pm1 Pm 0.0000 0.0000 0.0000
Y1 Y 0.0000 0.0000 0.5000
Ag1 Ag 0.2500 0.2500 0.7500
Au1 Au 0.2500 0.2500 0.2500
# * ΔH_f (0 K): -0.556 eV per atom
# * Fermi-level density of states: 0.852 states/eV per atom
# * mass density: 9.07 g/cm³

***

# TlP | Alexandria | PBE | optimized geometry
data_TlP
_symmetry_space_group_name_H-M 'P 63 m c'
_symmetry_Int_Tables_number 186
_symmetry_space_group_name_Hall 'P 6c -2c'
_cell_length_a 4.3086
_cell_length_b 4.3086
_cell_length_c 7.0748
_cell_angle_alpha 90.00
_cell_angle_beta 90.00
_cell_angle_gamma 120.00
loop_
_atom_site_label
_atom_site_type_symbol
_atom_site_fract_x
_atom_site_fract_y
_atom_site_fract_z
Tl1 Tl 0.3333 0.6667 0.0000
P1 P 0.3333 0.6667 0.6251
# * ΔH_f (0 K): 0.229 eV per atom
# * Fermi-level density of states: 0.000 states/eV per atom
# * mass density: 6.87 g/cm³

***

Question: Which formula does entry 2 have?
Answer: PmYAgAu

***

Question: Which formula does entry 2 have?
Answer: PmYAgAu

***

Question: Look up the mass density of the second one.
Answer: 9.07 g/cm³

***

Question: Which value of mass density does entry 2 give?
Answer: 9.07 g/cm³